1:
A PBEsol-optimized structure of ReNiAs2, computed with SCAN.

The space group is F-43m (No. 216) and the conventional cell measures 6.143, 6.143 and 6.143 Å, with angles of 90.00, 90.00 and 90.00 degrees. The asymmetric unit holds Re at (0.000, 0.000, 0.000), Ni at (0.250, 0.250, 0.750), As at (0.000, 0.000, 0.500) and As at (0.250, 0.250, 0.250).

=====

2:
A PBEsol-optimized structure of ReNiAs2, computed with SCAN.

The space group is P2/m (No. 10) and the conventional cell measures 2.660, 4.381 and 5.049 Å, with angles of 90.00, 92.10 and 90.00 degrees. The asymmetric unit holds Re at (0.000, 0.000, 0.000), Ni at (0.500, 0.000, 0.500) and As at (0.136, 0.500, 0.264).

=====

Which of them is the least stable? Correct choice: 1.

=====

1:
A PBEsol-optimized structure of Tc2NiAs, computed with SCAN.

The space group is Amm2 (No. 38) and the conventional cell measures 3.924, 2.800 and 9.564 Å, with angles of 90.00, 90.00 and 90.00 degrees. The asymmetric unit holds Tc at (0.000, 0.000, 0.000), Tc at (0.500, 0.000, 0.368), Ni at (0.500, 0.000, 0.625) and As at (0.000, 0.000, 0.744).

=====

2:
A PBEsol-optimized structure of Tc2NiAs, computed with SCAN.

The space group is I-4m2 (No. 119) and the conventional cell measures 3.749, 3.749 and 7.414 Å, with angles of 90.00, 90.00 and 90.00 degrees. The asymmetric unit holds Tc at (0.000, 0.000, 0.000), Tc at (0.000, 0.500, 0.250), Ni at (0.000, 0.500, 0.750) and As at (0.000, 0.000, 0.500).

=====

Which of them is the least stable? Correct choice: 2.